1.
# Ba2Sn3Hg4Pb PBE relaxed
# Volume: 311 Å³/f.u.
# Calculated formation energy: -0.381 eV per atom
# Space group: P-4m2, No. 115
# E_tot: -2.46 eV per atom
data_Ba2Sn3Hg4Pb
_cell_length_a 5.041
_cell_length_b 5.041
_cell_length_c 12.254
_cell_angle_alpha 90.00
_cell_angle_beta 90.00
_cell_angle_gamma 90.00
_space_group_name_H-M_alt 'P 1'
_space_group_IT_number 1
loop_
_space_group_symop_operation_xyz
'x,y,z'
loop_
_atom_site_label
_atom_site_fract_x
_atom_site_fract_y
_atom_site_fract_z
_atom_site_occupancy
Ba1 0.000 0.500 0.236 1
Ba2 0.500 0.000 0.764 1
Sn1 0.000 0.500 0.872 1
Sn2 0.500 0.000 0.128 1
Sn3 0.500 0.500 0.500 1
Hg1 0.000 0.000 0.000 1
Hg2 0.000 0.500 0.642 1
Hg3 0.500 0.000 0.358 1
Hg4 0.500 0.500 0.000 1
Pb1 0.000 0.000 0.500 1

2.
# BWN2 PBE relaxed
# Volume: 37 Å³/f.u.
# Space group: R-3m, No. 166
# ΔE_f (raw): 0.796 eV/atom
# E_tot: -8.27 eV per atom
data_BWN2
_cell_length_a 5.862
_cell_length_b 5.862
_cell_length_c 5.862
_cell_angle_alpha 27.23
_cell_angle_beta 27.23
_cell_angle_gamma 27.23
_space_group_name_H-M_alt 'P 1'
_space_group_IT_number 1
loop_
_space_group_symop_operation_xyz
'x,y,z'
loop_
_atom_site_label
_atom_site_fract_x
_atom_site_fract_y
_atom_site_fract_z
_atom_site_occupancy
B1 0.000 0.000 0.000 1
W1 0.500 0.500 0.500 1
N1 0.384 0.384 0.384 1
N2 0.616 0.616 0.616 1

3.
# KLi2Al PBE relaxed
# Volume: 102 Å³/f.u.
# Calculated formation energy: 0.221 eV per atom
# Space group: Imm2, No. 44
# E_tot: -1.95 eV per atom
data_KLi2Al
_cell_length_a 6.451
_cell_length_b 6.451
_cell_length_c 6.451
_cell_angle_alpha 150.19
_cell_angle_beta 129.44
_cell_angle_gamma 59.80
_space_group_name_H-M_alt 'P 1'
_space_group_IT_number 1
loop_
_space_group_symop_operation_xyz
'x,y,z'
loop_
_atom_site_label
_atom_site_fract_x
_atom_site_fract_y
_atom_site_fract_z
_atom_site_occupancy
K1 0.000 0.000 0.000 1
Li1 0.281 0.781 0.500 1
Li2 0.522 0.522 0.000 1
Al1 0.723 0.223 0.500 1

4.
# ZnTeAuI2 PBE relaxed
# Volume: 163 Å³/f.u.
# Space group: P4/mmm, No. 123
# Distance to the lowest polymorph of the same formula: 97 meV per atom
# ΔE_f (raw): 0.487 eV/atom
# E_tot: -1.67 eV per atom
data_ZnTeAuI2
_cell_length_a 5.505
_cell_length_b 5.505
_cell_length_c 5.388
_cell_angle_alpha 90.00
_cell_angle_beta 90.00
_cell_angle_gamma 90.00
_space_group_name_H-M_alt 'P 1'
_space_group_IT_number 1
loop_
_space_group_symop_operation_xyz
'x,y,z'
loop_
_atom_site_label
_atom_site_fract_x
_atom_site_fract_y
_atom_site_fract_z
_atom_site_occupancy
Zn1 0.000 0.000 0.000 1
Te1 0.000 0.000 0.500 1
Au1 0.500 0.500 0.500 1
I1 0.000 0.500 0.000 1
I2 0.500 0.000 0.000 1

5.
# NdLuAlZn PBE relaxed
# Volume: 95 Å³/f.u.
# Calculated formation energy: -0.338 eV per atom
# Space group: F-43m, No. 216
# E_tot: -3.91 eV per atom
data_NdLuAlZn
_cell_length_a 5.118
_cell_length_b 5.118
_cell_length_c 5.118
_cell_angle_alpha 60.00
_cell_angle_beta 60.00
_cell_angle_gamma 60.00
_space_group_name_H-M_alt 'P 1'
_space_group_IT_number 1
loop_
_space_group_symop_operation_xyz
'x,y,z'
loop_
_atom_site_label
_atom_site_fract_x
_atom_site_fract_y
_atom_site_fract_z
_atom_site_occupancy
Nd1 0.000 0.000 0.000 1
Lu1 0.500 0.500 0.500 1
Al1 0.750 0.750 0.750 1
Zn1 0.250 0.250 0.250 1

6.
# SrCuSe2 PBE relaxed
# Volume: 104 Å³/f.u.
# Space group: P4mm, No. 99
# ΔE_f (raw): -0.747 eV/atom
# E_tot: -3.93 eV per atom
data_SrCuSe2
_cell_length_a 4.100
_cell_length_b 4.100
_cell_length_c 6.214
_cell_angle_alpha 90.00
_cell_angle_beta 90.00
_cell_angle_gamma 90.00
_space_group_name_H-M_alt 'P 1'
_space_group_IT_number 1
loop_
_space_group_symop_operation_xyz
'x,y,z'
loop_
_atom_site_label
_atom_site_fract_x
_atom_site_fract_y
_atom_site_fract_z
_atom_site_occupancy
Sr1 0.000 0.000 0.000 1
Cu1 0.500 0.500 0.478 1
Se1 0.000 0.000 0.512 1
Se2 0.500 0.500 0.091 1

7.
# RbCrBr2 PBE relaxed
# Volume: 136 Å³/f.u.
# Space group: I-42d, No. 122
# Distance to the lowest polymorph of the same formula: 0 meV per atom
# ΔE_f (raw): -0.783 eV/atom
# E_tot: -4.27 eV per atom
data_RbCrBr2
_cell_length_a 7.074
_cell_length_b 7.074
_cell_length_c 7.074
_cell_angle_alpha 110.30
_cell_angle_beta 110.30
_cell_angle_gamma 107.84
_space_group_name_H-M_alt 'P 1'
_space_group_IT_number 1
loop_
_space_group_symop_operation_xyz
'x,y,z'
loop_
_atom_site_label
_atom_site_fract_x
_atom_site_fract_y
_atom_site_fract_z
_atom_site_occupancy
Rb1 0.000 0.000 0.000 1
Rb2 0.750 0.250 0.500 1
Cr1 0.250 0.750 0.500 1
Cr2 0.500 0.500 0.000 1
Br1 0.206 0.625 0.081 1
Br2 0.375 0.456 0.581 1
Br3 0.544 0.125 0.919 1
Br4 0.875 0.794 0.419 1

8.
# ThMo2N6 PBE relaxed
# Volume: 127 Å³/f.u.
# Space group: C2/m, No. 12
# ΔE_f (raw): -0.436 eV/atom
# E_tot: -9.22 eV per atom
data_ThMo2N6
_cell_length_a 5.957
_cell_length_b 5.957
_cell_length_c 6.594
_cell_angle_alpha 118.94
_cell_angle_beta 118.94
_cell_angle_gamma 39.30
_space_group_name_H-M_alt 'P 1'
_space_group_IT_number 1
loop_
_space_group_symop_operation_xyz
'x,y,z'
loop_
_atom_site_label
_atom_site_fract_x
_atom_site_fract_y
_atom_site_fract_z
_atom_site_occupancy
Th1 0.000 0.000 0.000 1
Mo1 0.219 0.219 0.659 1
Mo2 0.781 0.781 0.341 1
N1 0.036 0.036 0.621 1
N2 0.248 0.248 0.376 1
N3 0.366 0.366 0.957 1
N4 0.634 0.634 0.043 1
N5 0.752 0.752 0.624 1
N6 0.964 0.964 0.379 1